[1]
Material: BeCdOsW
Method: DFT, PBE
State: relaxed

The structure belongs to space group F-43m (No. 216); the cell edges are 6.197, 6.197 and 6.197 Å and the angles 90.00°, 90.00° and 90.00°. The inequivalent atoms are Be at (0.000, 0.000, 0.000), Cd at (0.250, 0.250, 0.250), Os at (0.250, 0.250, 0.750) and W at (0.000, 0.000, 0.500).

Its final energy is -0.4965 Ry/atom. The value obtained for the energy relative to the lowest polymorph listed for this composition is 0.73 kcal/mol of atoms. As for the theoretical density: 13.8 Mg/m³. Its volume is 14.87 A^3/atom.



[2]
Material: Y10Cd3Pd
Method: DFT, PBE
State: relaxed

The structure belongs to space group P6_3/mmc (No. 194); the cell edges are 9.7170, 9.7170 and 9.7815 Å and the angles 90.00°, 90.00° and 120.00°. The inequivalent atoms are Y at (0.0000, 0.0000, 0.0000), Y at (0.0873, 0.5437, 0.2500), Y at (0.2075, 0.4150, 0.5584), Cd at (0.1155, 0.2310, 0.2500) and Pd at (0.3333, 0.6667, 0.7500).

For the formation energy, the calculation gives -422 kJ/mol of formula units. Its final energy is -0.4036 Ry/atom. As for the theoretical density: 5.5 Mg/m³. Its volume is 28.57 A^3/atom.



[3]
Material: ScZnB2
Method: DFT, PBE
State: relaxed

The structure belongs to space group F-43m (No. 216); the cell edges are 5.766, 5.766 and 5.766 Å and the angles 90.00°, 90.00° and 90.00°. The inequivalent atoms are Sc at (0.000, 0.000, 0.000), Zn at (0.250, 0.250, 0.250), B at (0.000, 0.000, 0.500) and B at (0.250, 0.250, 0.750).

Its final energy is -0.3206 Ry/atom. As for the theoretical density: 4.6 Mg/m³. Its volume is 11.98 A^3/atom.



[4]
Material: KAsW
Method: DFT, PBE
State: relaxed

The structure belongs to space group F-43m (No. 216); the cell edges are 6.990, 6.990 and 6.990 Å and the angles 90.00°, 90.00° and 90.00°. The inequivalent atoms are K at (0.000, 0.000, 0.000), As at (0.250, 0.250, 0.750) and W at (0.250, 0.250, 0.250).

Its final energy is -0.2958 Ry/atom. The value obtained for the energy relative to the lowest polymorph listed for this composition is 19.09 kcal/mol of atoms. As for the theoretical density: 5.8 Mg/m³. Its volume is 28.47 A^3/atom.



[5]
Material: Nd4Au2O9
Method: DFT, PBE
State: relaxed

The structure belongs to space group Pbcn (No. 60); the cell edges are 11.963, 6.122 and 11.977 Å and the angles 90.00°, 90.00° and 90.00°. The inequivalent atoms are Nd at (0.012, 0.243, 0.090), Nd at (0.159, 0.200, 0.764), Au at (0.228, 0.419, 0.511), O at (0.000, 0.023, 0.250), O at (0.076, 0.385, 0.590), O at (0.116, 0.060, 0.946), O at (0.163, 0.437, 0.351) and O at (0.197, 0.125, 0.159).

Its final energy is -0.5163 Ry/atom. As for the theoretical density: 8.4 Mg/m³. Its volume is 14.62 A^3/atom.



[6]
Material: NbZnGaCu
Method: DFT, PBE
State: relaxed

The structure belongs to space group F-43m (No. 216); the cell edges are 6.223, 6.223 and 6.223 Å and the angles 90.00°, 90.00° and 90.00°. The inequivalent atoms are Nb at (0.000, 0.000, 0.000), Zn at (0.250, 0.250, 0.250), Ga at (0.000, 0.000, 0.500) and Cu at (0.250, 0.250, 0.750).

Its final energy is -0.3197 Ry/atom. The value obtained for the energy relative to the lowest polymorph listed for this composition is 2.04 kcal/mol of atoms. As for the theoretical density: 8.0 Mg/m³. Its volume is 15.07 A^3/atom.



[7]
Material: DyBeRe
Method: DFT, PBE
State: relaxed

The structure belongs to space group F-43m (No. 216); the cell edges are 5.976, 5.976 and 5.976 Å and the angles 90.00°, 90.00° and 90.00°. The inequivalent atoms are Dy at (0.000, 0.000, 0.000), Be at (0.250, 0.250, 0.250) and Re at (0.000, 0.000, 0.500).

Its final energy is -0.4682 Ry/atom. As for the theoretical density: 11.1 Mg/m³. Its volume is 17.79 A^3/atom.



[8]
Material: Sc2BeNi3
Method: DFT, PBE
State: relaxed

The structure belongs to space group P6_3/mmc (No. 194); the cell edges are 4.9614, 4.9614 and 7.4609 Å and the angles 90.00°, 90.00° and 120.00°. The inequivalent atoms are Sc at (0.3333, 0.6667, 0.0570), Be at (0.0000, 0.0000, 0.0000) and Ni at (0.1649, 0.3298, 0.7500).

Its final energy is -0.4425 Ry/atom. As for the theoretical density: 5.7 Mg/m³. Its volume is 13.25 A^3/atom.



[9]
Material: Re2Ge
Method: DFT, PBE
State: relaxed

The structure belongs to space group Fd-3m (No. 227, origin choice 2); the cell edges are 11.354, 11.354 and 11.354 Å and the angles 90.00°, 90.00° and 90.00°. The inequivalent atoms are Re at (0.000, 0.000, 0.000) and Ge at (0.125, 0.125, 0.125).

Its final energy is -0.4377 Ry/atom. The value obtained for the energy relative to the lowest polymorph listed for this composition is 72.19 kcal/mol of atoms. As for the theoretical density: 4.0 Mg/m³. Its volume is 60.98 A^3/atom.



[10]
Material: YGaTc
Method: DFT, PBE
State: relaxed

The structure belongs to space group F-43m (No. 216); the cell edges are 6.336, 6.336 and 6.336 Å and the angles 90.00°, 90.00° and 90.00°. The inequivalent atoms are Y at (0.000, 0.000, 0.000), Ga at (0.250, 0.250, 0.750) and Tc at (0.000, 0.000, 0.500).

Its final energy is -0.4778 Ry/atom. The value obtained for the energy relative to the lowest polymorph listed for this composition is 0.00 kcal/mol of atoms. As for the theoretical density: 6.7 Mg/m³. Its volume is 21.20 A^3/atom.